Record 1
First-principles (PBE) data for Tb9Pr11Er4 after structural relaxation, as listed in Alexandria.

Cell and atoms, written as POSCAR:
```
Tb9Pr11Er4
1.0
3.675 0.000 0.000
0.000 14.297 -6.112
0.000 -0.002 15.548
Pr Tb Er
11 9 4
direct
0.000 0.369 0.631
0.000 0.631 0.369
0.000 0.957 0.595
0.000 0.595 0.957
0.000 0.161 0.839
0.000 0.405 0.043
0.000 0.839 0.161
0.000 0.000 0.000
0.000 0.293 0.293
0.000 0.707 0.707
0.000 0.043 0.405
0.500 0.834 0.370
0.500 0.500 0.500
0.500 0.214 0.068
0.500 0.630 0.166
0.500 0.932 0.786
0.500 0.370 0.834
0.500 0.068 0.214
0.500 0.786 0.932
0.500 0.166 0.630
0.500 0.555 0.759
0.500 0.759 0.555
0.500 0.445 0.241
0.500 0.241 0.445
```

Summary:
Density of states at the Fermi level: 30.43 states/eV/cell
E_tot: -4.63 eV/atom
Total magnetic moment: 0.00 μB per atom

Record 2
First-principles (PBE) data for HfTi3Rh after structural relaxation, as listed in Alexandria.

Cell and atoms, written as POSCAR:
```
HfTi3Rh
1.0
-0.839 0.260 4.614
1.555 -4.400 0.530
4.352 1.622 0.700
Ti Rh Hf
3 1 1
direct
0.000 0.000 0.500
0.000 0.500 0.000
0.500 0.000 0.000
0.000 0.000 0.000
0.500 0.500 0.500
```

Summary:
Density of states at the Fermi level: 6.50 states/eV/cell
Total magnetic moment: 0.00 μB per atom
Excess energy over the best structure of this formula in the dataset: 0.4990 eV/atom

Record 3
First-principles (PBE) data for SrErIn after structural relaxation, as listed in Alexandria.

Cell and atoms, written as POSCAR:
```
SrErIn
1.0
-2.567 -0.153 4.485
-1.178 -8.099 -0.950
6.698 2.756 3.927
Sr Er In
3 3 3
direct
0.000 0.000 0.427
0.000 0.573 0.573
0.000 0.427 0.000
0.500 0.244 0.244
0.500 0.756 0.000
0.500 0.000 0.756
0.500 0.667 0.333
0.000 0.000 0.000
0.500 0.333 0.667
```

Summary:
Density of states at the Fermi level: 8.13 states/eV/cell
Total magnetic moment: 0.00 μB per atom
Excess energy over the best structure of this formula in the dataset: 0.0444 eV/atom

Record 4
First-principles (PBE) data for Ca2Mg5Rh4 after structural relaxation, as listed in Alexandria.

Cell and atoms, written as POSCAR:
```
Ca2Mg5Rh4
1.0
5.766 0.000 0.000
2.883 6.451 -0.810
2.883 0.859 5.737
Rh Mg Ca
4 5 2
direct
0.234 0.469 0.063
0.729 0.878 0.665
0.271 0.122 0.335
0.766 0.531 0.937
0.262 0.809 0.171
0.000 0.500 0.500
0.242 0.191 0.829
0.738 0.191 0.829
0.758 0.809 0.171
0.709 0.257 0.324
0.291 0.743 0.676
```

Summary:
Density of states at the Fermi level: 7.66 states/eV/cell
E_tot: -4.03 eV/atom
Total magnetic moment: 0.00 μB per atom

Record 5
First-principles (PBE) data for MnGa2Fe after structural relaxation, as listed in Alexandria.

Cell and atoms, written as POSCAR:
```
MnGa2Fe
1.0
-0.942 -1.108 2.321
1.232 -2.202 1.064
5.064 3.776 5.474
Fe Mn Ga
1 1 2
direct
0.666 0.666 0.001
0.500 0.500 0.499
0.083 0.083 0.751
0.250 0.250 0.249
```

Summary:
Density of states at the Fermi level: 3.05 states/eV/cell
E_tot: -5.94 eV/atom
Total magnetic moment: 1.05 μB per atom

Record 6
First-principles (PBE) data for La2TbDy after structural relaxation, as listed in Alexandria.

Cell and atoms, written as POSCAR:
```
La2TbDy
1.0
5.031 0.000 0.000
0.000 5.219 0.000
0.000 0.000 5.219
Dy La Tb
1 2 1
direct
0.500 0.000 0.000
0.000 0.500 0.000
0.000 0.000 0.500
0.500 0.500 0.500
```

Summary:
Density of states at the Fermi level: 6.33 states/eV/cell
Total magnetic moment: 0.00 μB per atom
Excess energy over the best structure of this formula in the dataset: 0.0098 eV/atom